Here is a relaxed Pm2AlAu2 crystal from Alexandria. Energies are from PBE.

Results
Calculated formation energy = -0.64 eV/atom

a = 7.0157 Å, b = 12.2435 Å, c = 6.0316 Å
α = 90.00°, β = 90.00°, γ = 90.00°
Last column: nearest neighbours and their distance in Å.
Space group Ibam (No. 72)
Unique sites:
Pm 0.1739 0.1525 0.0000 (multiplicity 8)  5 Au 2.98-3.23, 2 Al 3.32
Al 0.0000 0.5000 0.2500 (multiplicity 4)  4 Au 2.64
Au 0.2444 0.3926 0.0000 (multiplicity 8)  2 Al 2.64


Here is a relaxed Tm3Cd11 crystal from Alexandria. Energies are from PBE.

Results
Calculated formation energy = -0.18 eV/atom

a = 4.7471 Å, b = 10.9584 Å, c = 12.6321 Å
α = 90.00°, β = 90.00°, γ = 90.00°
Last column: nearest neighbours and their distance in Å.
Space group Immm (No. 71)
Unique sites:
Tm 0.0000 0.0000 0.0000 (multiplicity 2)  12 Cd 3.22-3.58, 2 Tm 3.56
Tm 0.0000 0.0000 0.2821 (multiplicity 4)  14 Cd 3.25-3.64, 1 Tm 3.56
Cd 0.0000 0.1569 0.5000 (multiplicity 4)  8 Cd 2.90-3.13, 2 Tm 3.25
Cd 0.0000 0.2765 0.1504 (multiplicity 8)  6 Cd 2.89-3.13
Cd 0.0000 0.3731 0.3669 (multiplicity 8)  5 Cd 2.78-2.93
Cd 0.0000 0.5000 0.0000 (multiplicity 2)  8 Cd 2.93-3.10


Here is a relaxed ErThMo crystal from Alexandria. Energies are from PBE.

Results
Calculated formation energy = 0.28 eV/atom

a = 3.9547 Å, b = 3.9547 Å, c = 9.8739 Å
α = 90.00°, β = 90.00°, γ = 90.00°
Last column: nearest neighbours and their distance in Å.
Space group P4/nmm (No. 129, origin choice 2)
Unique sites:
Er 0.2500 0.2500 0.1026 (multiplicity 2)  4 Th 3.38, 1 Mo 3.43, 4 Er 3.45
Th 0.2500 0.2500 0.7049 (multiplicity 2)  1 Mo 2.51
Mo 0.2500 0.2500 0.4504 (multiplicity 2)  1 Th 2.51


Here is a relaxed MoW3Se8 crystal from Alexandria. Energies are from PBE.

Results
Formation energy from raw total energies = -593.5 meV per atom

a = 3.3227 Å, b = 3.3227 Å, c = 28.5499 Å
α = 90.00°, β = 90.00°, γ = 120.00°
Last column: nearest neighbours and their distance in Å.
Space group P3m1 (No. 156)
Unique sites:
Mo 0.0000 0.0000 0.0000 (multiplicity 1)  6 Se 2.55
W 0.0000 0.0000 0.4992 (multiplicity 1)  6 Se 2.55
W 0.6667 0.3333 0.2479 (multiplicity 1)  6 Se 2.55
W 0.6667 0.3333 0.7479 (multiplicity 1)  6 Se 2.55
Se 0.0000 0.0000 0.1890 (multiplicity 1)  3 W 2.55
Se 0.0000 0.0000 0.3068 (multiplicity 1)  3 W 2.55
Se 0.0000 0.0000 0.6890 (multiplicity 1)  3 W 2.55
Se 0.0000 0.0000 0.8068 (multiplicity 1)  3 W 2.55
Se 0.6667 0.3333 0.0586 (multiplicity 1)  3 Mo 2.55
Se 0.6667 0.3333 0.4402 (multiplicity 1)  3 W 2.55
Se 0.6667 0.3333 0.5581 (multiplicity 1)  3 W 2.55
Se 0.6667 0.3333 0.9414 (multiplicity 1)  3 Mo 2.55


| no. | magnetic moment (μB/f.u.) |
| --- | --- |
| 1 | 0.00 |
| 2 | 0.00 |
| 3 | 0.00 |
| 4 | 0.00 |